An optimized crystal structure of LaSmMg2. Source: the Alexandria database, functional GGA-PBE.

Summary:
calculated formation energy	51	meV per atom
density	4.63	g/cm3
E above lowest polymorph	163	meV per atom
D(E_F)	1.33	states/eV per atom
calculated volume	30.32	Å³/atom
crystal system	trigonal

a b c (Å): 11.493 11.493 11.493
angles (deg): 17.61 17.61 17.61
Fractional coordinates of all 4 atoms:
La  0.000  0.000  0.000
Sm  0.169  0.169  0.169
Mg  0.419  0.419  0.419
Mg  0.582  0.582  0.582

***

An optimized crystal structure of NiPt3I. Source: the Alexandria database, functional GGA-PBE.

Summary:
density	12.71	g/cm3
ΔE_f (raw)	994	meV per atom
D(E_F)	3.40	states/eV per atom
calculated volume	20.14	Å³/atom
crystal system	cubic

a b c (Å): 4.653 4.653 4.653
angles (deg): 90.00 90.00 90.00
Fractional coordinates of all 5 atoms:
Ni  0.000  0.000  0.000
Pt  0.000  0.000  0.500
Pt  0.000  0.500  0.000
Pt  0.500  0.000  0.000
I  0.500  0.500  0.500